[1]
VASP calculation (PBE) on crystalline PaPbS2O8 at its relaxed geometry.

Cell and atoms, written as extended XYZ:
```
12
Lattice="5.996 0.000 0.000 -2.998 5.193 0.000 0.000 0.000 6.964" Properties=species:S:1:pos:R:3 pbc="T T T"
O -1.537 4.349 5.567
O 0.000 3.462 3.804
O 0.000 1.687 5.567
O 2.998 1.731 3.160
O 2.998 3.506 1.396
O 4.535 0.844 1.396
O 1.461 0.844 1.396
O 1.537 4.349 5.567
S 2.998 1.731 1.701
S 0.000 3.462 5.262
Pb 0.000 0.000 3.482
Pa 0.000 0.000 0.000
```

Summary:
- SG = P-3m1 (164)
- formation energy (no corrections) (eV per atom) = -1.4887
- crystal system = trigonal
- total magnetization (μB/f.u.) = 0.00


[2]
VASP calculation (PBE) on crystalline Pa2SbPbO8 at its relaxed geometry.

Cell and atoms, written as extended XYZ:
```
12
Lattice="5.163 0.036 -0.003 0.085 5.158 -0.006 0.004 0.008 7.216" Properties=species:S:1:pos:R:3 pbc="T T T"
O 1.125 4.118 5.658
O 4.127 1.084 1.548
O 3.632 3.600 7.209
O 4.130 1.089 5.660
O 1.740 1.721 3.605
O 3.513 3.481 3.602
O 1.620 1.602 -0.003
O 1.122 4.113 1.547
Pa 2.625 2.599 1.777
Pa 2.627 2.603 5.430
Sb 0.000 0.000 0.000
Pb 0.002 0.004 3.608
```

Summary:
- SG = Cmmm (65)
- formation energy (no corrections) (eV per atom) = -2.5236
- crystal system = orthorhombic
- total magnetization (μB/f.u.) = 0.00


[3]
VASP calculation (PBE) on crystalline PaSbPbO6 at its relaxed geometry.

Cell and atoms, written as extended XYZ:
```
18
Lattice="5.694 0.000 0.000 -2.847 4.931 0.000 0.000 0.000 10.571" Properties=species:S:1:pos:R:3 pbc="T T T"
Sb 2.847 1.644 2.643
Sb 0.000 3.288 7.928
O 0.956 1.888 9.038
O 1.157 1.772 3.753
O 1.690 3.159 6.819
O 1.891 3.043 1.533
O 3.803 3.043 3.753
O -0.734 4.815 6.819
O -1.690 3.159 9.038
O 3.581 0.116 3.753
O 4.537 1.772 1.533
O -0.956 1.888 6.819
O 2.113 0.116 1.533
O 0.734 4.815 9.038
Pa 2.847 1.644 7.928
Pa 0.000 3.288 2.643
Pb 0.000 0.000 0.000
Pb 0.000 0.000 5.286
```

Summary:
- SG = P-31c (163)
- formation energy (no corrections) (eV per atom) = -2.1559
- crystal system = trigonal
- total magnetization (μB/f.u.) = 0.00


[4]
VASP calculation (PBE) on crystalline PaSb2PbO8 at its relaxed geometry.

Cell and atoms, written as extended XYZ:
```
12
Lattice="-4.132 -4.187 -1.355 4.547 -1.345 3.736 -4.032 2.142 5.679" Properties=species:S:1:pos:R:3 pbc="T T T"
O -1.806 -2.507 6.164
O -5.065 -1.208 5.730
O -1.812 -0.883 1.895
O -1.601 -3.797 3.144
O 1.447 -2.182 2.330
O -3.991 -3.081 1.177
O -2.017 0.407 4.915
O 0.373 -0.309 6.883
Sb -1.547 -0.592 6.546
Sb -2.071 -2.798 1.513
Pb 0.000 0.000 0.000
Pa -2.016 1.071 2.839
```

Summary:
- SG = P-3m1 (164)
- formation energy (no corrections) (eV per atom) = -1.7001
- crystal system = trigonal
- total magnetization (μB/f.u.) = 0.00


[5]
VASP calculation (PBE) on crystalline ScPaPb2O8 at its relaxed geometry.

Cell and atoms, written as extended XYZ:
```
12
Lattice="6.139 0.461 0.000 -2.309 5.706 0.000 -1.915 -3.084 4.972" Properties=species:S:1:pos:R:3 pbc="T T T"
O 4.704 1.082 1.546
O 0.020 1.856 4.011
O -0.020 -1.856 4.011
O 3.569 3.925 0.961
O 3.031 -1.612 3.426
O 1.435 -0.621 1.546
O 3.107 2.073 3.426
O 0.261 2.243 0.961
Pb 3.069 0.231 2.486
Pb 1.915 3.084 0.000
Sc -1.155 2.853 2.486
Pa 0.000 0.000 0.000
```

Summary:
- SG = I-4m2 (119)
- formation energy (no corrections) (eV per atom) = -1.9980
- crystal system = tetragonal
- total magnetization (μB/f.u.) = 0.00


[6]
VASP calculation (PBE) on crystalline ScPa2PbO8 at its relaxed geometry.

Cell and atoms, written as extended XYZ:
```
12
Lattice="-0.289 -1.478 4.807 0.102 -4.838 -1.408 7.137 0.024 0.436" Properties=species:S:1:pos:R:3 pbc="T T T"
O 1.416 -2.140 3.673
O 5.534 -4.152 0.163
O -0.129 -4.368 2.350
O 3.442 -4.270 2.522
O 7.079 -1.925 1.485
O 3.508 -2.022 1.313
O 1.652 -4.165 -0.075
O 5.298 -2.127 3.910
Sc 0.000 0.000 0.000
Pa 1.648 -3.152 1.806
Pa 5.302 -3.140 2.029
Pb 3.568 0.012 0.218
```

Summary:
- SG = Cmmm (65)
- formation energy (no corrections) (eV per atom) = -2.9794
- crystal system = orthorhombic
- total magnetization (μB/f.u.) = 0.00